This record from Alexandria via LeMat-Bulk describes Dy2HoBe after structural relaxation. The functional is PBE-GGA.

```
data_Dy2HoBe
_cell_length_a 3.4133
_cell_length_b 3.4133
_cell_length_c 34.1157
_cell_angle_alpha 90.00
_cell_angle_beta 90.00
_cell_angle_gamma 120.00
_symmetry_space_group_name_H-M 'R -3 m'
_symmetry_Int_Tables_number 166
_symmetry_space_group_name_Hall '-R 3 2"'
loop_
_atom_site_label
_atom_site_type_symbol
_atom_site_fract_x
_atom_site_fract_y
_atom_site_fract_z
Dy1 Dy 0.0000 0.0000 0.0845
Ho1 Ho 0.0000 0.0000 0.5000
Be1 Be 0.0000 0.0000 0.0000
```

Its crystal system is trigonal. The total energy comes out at -44.4 eV for the cell shown. The calculated volume is 114.74 Å³/f.u. For the energy of formation, the calculation gives 0.68 eV/atom.